No. 1
Computed, not measured: crystalline Ce2ZrSc4 at its relaxed geometry at the GGA-PBE level of DFT.

DFT formation energy: 0.59 eV/atom
DFT total energy: -5.95 eV per atom
D(E_F): 2.9428 states/eV per atom
Excess energy over the best structure of this formula in the dataset: 0.474 eV per atom
Magnetic moment: 0.547 μB per atom

abc: 5.232 5.232 15.467
angles: 90.00 90.00 90.00
Element x y z (fractional)
Ce  0.000  0.000  0.186
Ce  0.000  0.000  0.814
Ce  0.500  0.500  0.314
Ce  0.500  0.500  0.686
Zr  0.000  0.000  0.000
Zr  0.500  0.500  0.500
Sc  0.000  0.000  0.394
Sc  0.000  0.000  0.606
Sc  0.000  0.500  0.000
Sc  0.000  0.500  0.500
Sc  0.500  0.000  0.000
Sc  0.500  0.000  0.500
Sc  0.500  0.500  0.106
Sc  0.500  0.500  0.894

No. 2
Computed, not measured: crystalline Tb2CoCl at its relaxed geometry at the GGA-PBE level of DFT.

DFT total energy: -5.41 eV per atom
D(E_F): 0.2609 states/eV per atom
Excess energy over the best structure of this formula in the dataset: 0.000 eV per atom
Magnetic moment: 0.000 μB per atom
Formation energy (no corrections): -853.9 meV per atom

abc: 3.830 3.830 22.139
angles: 90.00 90.00 120.00
Element x y z (fractional)
Tb  0.000  0.000  0.233
Tb  0.000  0.000  0.767
Tb  0.333  0.667  0.434
Tb  0.333  0.667  0.900
Tb  0.667  0.333  0.100
Tb  0.667  0.333  0.566
Co  0.000  0.000  0.500
Co  0.333  0.667  0.167
Co  0.667  0.333  0.833
Cl  0.000  0.000  0.000
Cl  0.333  0.667  0.667
Cl  0.667  0.333  0.333

No. 3
Computed, not measured: crystalline MnTlIn2Pb at its relaxed geometry at the GGA-PBE level of DFT.

DFT formation energy: 0.94 eV/atom
DFT total energy: -3.20 eV per atom
D(E_F): 0.9529 states/eV per atom
Magnetic moment: 0.927 μB per atom

abc: 5.724 5.724 5.828
angles: 90.00 90.00 90.00
Element x y z (fractional)
Mn  0.000  0.000  0.000
Tl  0.500  0.500  0.500
In  0.000  0.500  0.500
In  0.500  0.000  0.500
Pb  0.500  0.500  0.000

No. 4
Computed, not measured: crystalline LiW2I at its relaxed geometry at the GGA-PBE level of DFT.

DFT total energy: -6.41 eV per atom
D(E_F): 0.7848 states/eV per atom
Excess energy over the best structure of this formula in the dataset: 0.000 eV per atom
Magnetic moment: 0.000 μB per atom
Formation energy (no corrections): 936.7 meV per atom

abc: 3.744 3.744 21.870
angles: 90.00 90.00 90.00
Element x y z (fractional)
Li  0.000  0.000  0.000
Li  0.000  0.500  0.250
Li  0.500  0.000  0.750
Li  0.500  0.500  0.500
W  0.239  0.250  0.125
W  0.250  0.739  0.375
W  0.250  0.761  0.875
W  0.261  0.250  0.625
W  0.739  0.750  0.625
W  0.750  0.239  0.875
W  0.750  0.261  0.375
W  0.761  0.750  0.125
I  0.000  0.000  0.500
I  0.000  0.500  0.750
I  0.500  0.000  0.250
I  0.500  0.500  0.000

No. 5
Computed, not measured: crystalline La3TcTe at its relaxed geometry at the GGA-PBE level of DFT.

DFT total energy: -6.10 eV per atom
D(E_F): 1.4383 states/eV per atom
Excess energy over the best structure of this formula in the dataset: 0.000 eV per atom
Magnetic moment: 0.000 μB per atom
Formation energy (no corrections): -441.5 meV per atom

abc: 5.441 5.441 5.441
angles: 90.00 90.00 90.00
Element x y z (fractional)
La  0.000  0.000  0.500
La  0.000  0.500  0.000
La  0.500  0.000  0.000
Tc  0.000  0.000  0.000
Te  0.500  0.500  0.500

No. 6
Computed, not measured: crystalline Th2CuH at its relaxed geometry at the GGA-PBE level of DFT.

DFT total energy: -5.21 eV per atom
D(E_F): 0.9811 states/eV per atom
Magnetic moment: 0.000 μB per atom

abc: 3.375 3.375 26.875
angles: 90.00 90.00 120.00
Element x y z (fractional)
Th  0.000  0.000  0.107
Th  0.000  0.000  0.893
Th  0.333  0.667  0.559
Th  0.333  0.667  0.774
Th  0.667  0.333  0.226
Th  0.667  0.333  0.441
Cu  0.000  0.000  0.000
Cu  0.333  0.667  0.667
Cu  0.667  0.333  0.333
H  0.000  0.000  0.500
H  0.333  0.667  0.167
H  0.667  0.333  0.833